SrTaIO2: optimized geometry, PBE.

Results
uncorrected formation energy = 0.364 eV per atom
E above lowest polymorph = 8.98 eV/f.u.

Cell lengths 4.560, 4.560, 6.268 Å; angles 90.00, 90.00, 90.00 degrees
Space group P4/mmm (No. 123)
Inequivalent atoms, fractional coordinates:
Sr 0.000 0.000 0.000 x1
Ta 0.500 0.500 0.500 x1
I 0.000 0.000 0.500 x1
O 0.000 0.500 0.000 x2

---

Y6Cu5Ru: optimized geometry, PBE.

Results
calculated formation energy = -270 meV/atom

Cell lengths 4.921, 14.753, 6.926 Å; angles 90.00, 90.00, 90.00 degrees
Space group Cmmm (No. 65)
Inequivalent atoms, fractional coordinates:
Y 0.000 0.000 0.244 x4
Y 0.000 0.336 0.247 x8
Cu 0.000 0.165 0.500 x4
Cu 0.000 0.168 0.000 x4
Cu 0.000 0.500 0.500 x2
Ru 0.000 0.500 0.000 x2

---

- What is the formula in the first record?
  SrTaIO2